Record 1
Entry from OQMD via LeMat-Bulk: a relaxed Tm3Mg3AlIn2 crystal (GGA-PBE).

```
data_Tm3Mg3AlIn2
_cell_length_a 7.416
_cell_length_b 7.416
_cell_length_c 4.582
_cell_angle_alpha 90.00
_cell_angle_beta 90.00
_cell_angle_gamma 120.00
_symmetry_space_group_name_H-M 'P 1'
_symmetry_Int_Tables_number 1
loop_
_symmetry_equiv_pos_as_xyz
'x,y,z'
loop_
_atom_site_label
_atom_site_type_symbol
_atom_site_fract_x
_atom_site_fract_y
_atom_site_fract_z
_atom_site_occupancy
Mg1 Mg 0.762 0.000 0.500 1
Mg2 Mg 0.238 0.238 0.500 1
Mg3 Mg 0.000 0.762 0.500 1
In1 In 0.333 0.667 0.500 1
In2 In 0.667 0.333 0.500 1
Tm1 Tm 0.570 0.570 0.000 1
Tm2 Tm 0.000 0.430 0.000 1
Tm3 Tm 0.430 0.000 0.000 1
Al1 Al 0.000 0.000 0.000 1
```

## Properties
M_tot	0.00	μB per formula unit
E	-30.2	eV/cell

Record 2
Entry from OQMD via LeMat-Bulk: a relaxed Ta4AlInN2 crystal (GGA-PBE).

```
data_Ta4AlInN2
_cell_length_a 3.002
_cell_length_b 3.002
_cell_length_c 14.859
_cell_angle_alpha 90.00
_cell_angle_beta 90.00
_cell_angle_gamma 120.00
_symmetry_space_group_name_H-M 'P 1'
_symmetry_Int_Tables_number 1
loop_
_symmetry_equiv_pos_as_xyz
'x,y,z'
loop_
_atom_site_label
_atom_site_type_symbol
_atom_site_fract_x
_atom_site_fract_y
_atom_site_fract_z
_atom_site_occupancy
N1 N 0.333 0.667 0.242 1
N2 N 0.333 0.667 0.758 1
Ta1 Ta 0.667 0.333 0.850 1
Ta2 Ta 0.000 0.000 0.334 1
Ta3 Ta 0.000 0.000 0.666 1
Ta4 Ta 0.667 0.333 0.150 1
Al1 Al 0.000 0.000 0.000 1
In1 In 0.667 0.333 0.500 1
```

## Properties
M_tot	0.00	μB per formula unit
E	-74.9	eV/cell

Record 3
Entry from OQMD via LeMat-Bulk: a relaxed AlInW4N2 crystal (GGA-PBE).

```
data_AlInW4N2
_cell_length_a 2.872
_cell_length_b 2.872
_cell_length_c 15.214
_cell_angle_alpha 90.00
_cell_angle_beta 90.00
_cell_angle_gamma 120.00
_symmetry_space_group_name_H-M 'P 1'
_symmetry_Int_Tables_number 1
loop_
_symmetry_equiv_pos_as_xyz
'x,y,z'
loop_
_atom_site_label
_atom_site_type_symbol
_atom_site_fract_x
_atom_site_fract_y
_atom_site_fract_z
_atom_site_occupancy
W1 W 0.000 0.000 0.338 1
W2 W 0.667 0.333 0.148 1
W3 W 0.000 0.000 0.662 1
W4 W 0.667 0.333 0.852 1
N1 N 0.333 0.667 0.244 1
N2 N 0.333 0.667 0.756 1
Al1 Al 0.000 0.000 0.000 1
In1 In 0.667 0.333 0.500 1
```

## Properties
M_tot	0.00	μB per formula unit
E	-73.7	eV/cell

Record 4
Entry from OQMD via LeMat-Bulk: a relaxed Na2Zr2AlInPd2 crystal (GGA-PBE).

```
data_Na2Zr2AlInPd2
_cell_length_a 4.686
_cell_length_b 4.686
_cell_length_c 6.660
_cell_angle_alpha 90.00
_cell_angle_beta 90.00
_cell_angle_gamma 90.00
_symmetry_space_group_name_H-M 'P 1'
_symmetry_Int_Tables_number 1
loop_
_symmetry_equiv_pos_as_xyz
'x,y,z'
loop_
_atom_site_label
_atom_site_type_symbol
_atom_site_fract_x
_atom_site_fract_y
_atom_site_fract_z
_atom_site_occupancy
Pd1 Pd 0.500 0.000 0.263 1
Pd2 Pd 0.000 0.500 0.737 1
Na1 Na 0.000 0.500 0.258 1
Na2 Na 0.500 0.000 0.742 1
Zr1 Zr 0.000 0.000 0.000 1
Zr2 Zr 0.500 0.500 0.500 1
Al1 Al 0.000 0.000 0.500 1
In1 In 0.500 0.500 0.000 1
```

## Properties
M_tot	0.01	μB per formula unit
E	-38.7	eV/cell

Record 5
Entry from OQMD via LeMat-Bulk: a relaxed Na4AlInPt2 crystal (GGA-PBE).

```
data_Na4AlInPt2
_cell_length_a 4.706
_cell_length_b 4.706
_cell_length_c 6.799
_cell_angle_alpha 90.00
_cell_angle_beta 90.00
_cell_angle_gamma 90.00
_symmetry_space_group_name_H-M 'P 1'
_symmetry_Int_Tables_number 1
loop_
_symmetry_equiv_pos_as_xyz
'x,y,z'
loop_
_atom_site_label
_atom_site_type_symbol
_atom_site_fract_x
_atom_site_fract_y
_atom_site_fract_z
_atom_site_occupancy
Pt1 Pt 0.000 0.500 0.771 1
Pt2 Pt 0.500 0.000 0.229 1
Na1 Na 0.500 0.000 0.760 1
Na2 Na 0.500 0.500 0.000 1
Na3 Na 0.000 0.500 0.240 1
Na4 Na 0.000 0.000 0.500 1
In1 In 0.500 0.500 0.500 1
Al1 Al 0.000 0.000 0.000 1
```

## Properties
M_tot	0.01	μB per formula unit
E	-25.6	eV/cell

Record 6
Entry from OQMD via LeMat-Bulk: a relaxed Na4AlZn2In crystal (GGA-PBE).

```
data_Na4AlZn2In
_cell_length_a 4.937
_cell_length_b 4.937
_cell_length_c 7.026
_cell_angle_alpha 90.00
_cell_angle_beta 90.00
_cell_angle_gamma 90.00
_symmetry_space_group_name_H-M 'P 1'
_symmetry_Int_Tables_number 1
loop_
_symmetry_equiv_pos_as_xyz
'x,y,z'
loop_
_atom_site_label
_atom_site_type_symbol
_atom_site_fract_x
_atom_site_fract_y
_atom_site_fract_z
_atom_site_occupancy
Na1 Na 0.500 0.000 0.242 1
Na2 Na 0.500 0.500 0.000 1
Na3 Na 0.000 0.500 0.758 1
Na4 Na 0.000 0.000 0.500 1
Zn1 Zn 0.000 0.500 0.233 1
Zn2 Zn 0.500 0.000 0.767 1
Al1 Al 0.000 0.000 0.000 1
In1 In 0.500 0.500 0.500 1
```

## Properties
E	-14.0	eV/cell

Record 7
Entry from OQMD via LeMat-Bulk: a relaxed Nb2AlInNi2 crystal (GGA-PBE).

```
data_Nb2AlInNi2
_cell_length_a 10.191
_cell_length_b 4.153
_cell_length_c 10.216
_cell_angle_alpha 90.00
_cell_angle_beta 109.51
_cell_angle_gamma 90.00
_symmetry_space_group_name_H-M 'P 1'
_symmetry_Int_Tables_number 1
loop_
_symmetry_equiv_pos_as_xyz
'x,y,z'
loop_
_atom_site_label
_atom_site_type_symbol
_atom_site_fract_x
_atom_site_fract_y
_atom_site_fract_z
_atom_site_occupancy
Al1 Al 0.251 0.000 0.497 1
Al2 Al 0.125 0.500 0.126 1
Al3 Al 0.499 0.000 0.249 1
Al4 Al 0.750 0.000 0.002 1
Nb1 Nb 0.372 0.500 0.372 1
Nb2 Nb 0.004 0.000 0.249 1
Nb3 Nb 0.128 0.500 0.620 1
Nb4 Nb 0.876 0.500 0.883 1
Nb5 Nb 0.623 0.500 0.125 1
Nb6 Nb 0.745 0.000 0.495 1
Nb7 Nb 0.501 0.000 0.750 1
Nb8 Nb 0.250 0.000 0.008 1
Ni1 Ni 0.373 0.500 0.131 1
Ni2 Ni 0.132 0.500 0.373 1
Ni3 Ni 0.252 0.000 0.740 1
Ni4 Ni 0.002 0.000 0.010 1
Ni5 Ni 0.741 0.000 0.242 1
Ni6 Ni 0.874 0.500 0.624 1
Ni7 Ni 0.633 0.500 0.884 1
Ni8 Ni 0.492 0.000 0.492 1
In1 In 0.374 0.500 0.877 1
In2 In 0.876 0.500 0.372 1
In3 In 0.624 0.500 0.626 1
In4 In 0.002 0.000 0.752 1
```

## Properties
M_tot	0.00	μB per formula unit
E	-156.4	eV/cell

Record 8
Entry from OQMD via LeMat-Bulk: a relaxed NdAl2In crystal (GGA-PBE).

```
data_NdAl2In
_cell_length_a 4.752
_cell_length_b 6.709
_cell_length_c 6.709
_cell_angle_alpha 58.76
_cell_angle_beta 90.00
_cell_angle_gamma 90.00
_symmetry_space_group_name_H-M 'P 1'
_symmetry_Int_Tables_number 1
loop_
_symmetry_equiv_pos_as_xyz
'x,y,z'
loop_
_atom_site_label
_atom_site_type_symbol
_atom_site_fract_x
_atom_site_fract_y
_atom_site_fract_z
_atom_site_occupancy
Al1 Al 0.000 0.861 0.861 1
Al2 Al 0.000 0.862 0.285 1
Al3 Al 0.500 0.143 0.143 1
Al4 Al 0.000 0.285 0.862 1
Nd1 Nd 0.000 0.323 0.323 1
Nd2 Nd 0.500 0.671 0.671 1
In1 In 0.500 0.162 0.692 1
In2 In 0.500 0.692 0.162 1
```

## Properties
M_tot	0.01	μB per formula unit
E	-33.1	eV/cell

Record 9
Entry from OQMD via LeMat-Bulk: a relaxed Nd2Al5In crystal (GGA-PBE).

```
data_Nd2Al5In
_cell_length_a 4.664
_cell_length_b 6.577
_cell_length_c 6.577
_cell_angle_alpha 60.58
_cell_angle_beta 90.00
_cell_angle_gamma 90.00
_symmetry_space_group_name_H-M 'P 1'
_symmetry_Int_Tables_number 1
loop_
_symmetry_equiv_pos_as_xyz
'x,y,z'
loop_
_atom_site_label
_atom_site_type_symbol
_atom_site_fract_x
_atom_site_fract_y
_atom_site_fract_z
_atom_site_occupancy
Al1 Al 0.000 0.285 0.864 1
Al2 Al 0.500 0.147 0.719 1
Al3 Al 0.000 0.864 0.285 1
Al4 Al 0.500 0.719 0.147 1
Al5 Al 0.500 0.143 0.143 1
In1 In 0.000 0.847 0.847 1
Nd1 Nd 0.500 0.659 0.659 1
Nd2 Nd 0.000 0.337 0.337 1
```

## Properties
M_tot	0.01	μB per formula unit
E	-34.3	eV/cell

Record 10
Entry from OQMD via LeMat-Bulk: a relaxed Nd2AlIn5 crystal (GGA-PBE).

```
data_Nd2AlIn5
_cell_length_a 5.039
_cell_length_b 6.779
_cell_length_c 6.779
_cell_angle_alpha 59.73
_cell_angle_beta 90.00
_cell_angle_gamma 90.00
_symmetry_space_group_name_H-M 'P 1'
_symmetry_Int_Tables_number 1
loop_
_symmetry_equiv_pos_as_xyz
'x,y,z'
loop_
_atom_site_label
_atom_site_type_symbol
_atom_site_fract_x
_atom_site_fract_y
_atom_site_fract_z
_atom_site_occupancy
In1 In 0.000 0.310 0.842 1
In2 In 0.000 0.842 0.310 1
In3 In 0.500 0.157 0.157 1
In4 In 0.500 0.149 0.689 1
In5 In 0.500 0.689 0.149 1
Nd1 Nd 0.500 0.670 0.670 1
Nd2 Nd 0.000 0.332 0.332 1
Al1 Al 0.000 0.851 0.851 1
```

## Properties
M_tot	0.01	μB per formula unit
E	-30.1	eV/cell

Record 11
Entry from OQMD via LeMat-Bulk: a relaxed NdAl2In crystal (GGA-PBE).

```
data_NdAl2In
_cell_length_a 4.752
_cell_length_b 6.664
_cell_length_c 6.664
_cell_angle_alpha 119.93
_cell_angle_beta 90.00
_cell_angle_gamma 90.00
_symmetry_space_group_name_H-M 'P 1'
_symmetry_Int_Tables_number 1
loop_
_symmetry_equiv_pos_as_xyz
'x,y,z'
loop_
_atom_site_label
_atom_site_type_symbol
_atom_site_fract_x
_atom_site_fract_y
_atom_site_fract_z
_atom_site_occupancy
Al1 Al 0.250 0.843 0.131 1
Al2 Al 0.750 0.131 0.843 1
Al3 Al 0.750 0.713 0.853 1
Al4 Al 0.250 0.853 0.713 1
In1 In 0.250 0.304 0.144 1
In2 In 0.750 0.144 0.304 1
Nd1 Nd 0.750 0.674 0.338 1
Nd2 Nd 0.250 0.338 0.674 1
```

## Properties
M_tot	0.01	μB per formula unit
E	-33.1	eV/cell

Record 12
Entry from OQMD via LeMat-Bulk: a relaxed Nd3AlInNi4 crystal (GGA-PBE).

```
data_Nd3AlInNi4
_cell_length_a 5.477
_cell_length_b 5.477
_cell_length_c 8.542
_cell_angle_alpha 96.51
_cell_angle_beta 96.51
_cell_angle_gamma 45.26
_symmetry_space_group_name_H-M 'P 1'
_symmetry_Int_Tables_number 1
loop_
_symmetry_equiv_pos_as_xyz
'x,y,z'
loop_
_atom_site_label
_atom_site_type_symbol
_atom_site_fract_x
_atom_site_fract_y
_atom_site_fract_z
_atom_site_occupancy
Nd1 Nd 0.624 0.624 0.878 1
Nd2 Nd 0.371 0.371 0.117 1
Nd3 Nd 0.002 0.002 0.503 1
Ni1 Ni 0.071 0.071 0.113 1
Ni2 Ni 0.278 0.278 0.434 1
Ni3 Ni 0.913 0.913 0.858 1
Ni4 Ni 0.742 0.742 0.595 1
Al1 Al 0.324 0.324 0.718 1
In1 In 0.676 0.676 0.283 1
```

## Properties
M_tot	0.00	μB per formula unit
E	-47.0	eV/cell